Entry 1:
This record from the Open Quantum Materials Database describes a geometry-optimized CsBeCoMo structure. The functional is PBE.

Results
The magnetization comes out at 3.6 μB/f.u. Its space group is No. 216. The calculation puts the relative energy among the computed polymorphs at 73 meV per atom.

The structure in CIF format:
```
data_CsBeCoMo
_chemical_formula_sum 'Cs1 Be1 Co1 Mo1'
_symmetry_space_group_name_H-M 'P 1'
_symmetry_Int_Tables_number 1
_cell_length_a 4.707
_cell_length_b 4.707
_cell_length_c 4.707
_cell_angle_alpha 60.00
_cell_angle_beta 60.00
_cell_angle_gamma 60.00
loop_
_symmetry_equiv_pos_as_xyz
'x,y,z'
loop_
_atom_site_label
_atom_site_fract_x
_atom_site_fract_y
_atom_site_fract_z
_atom_site_occupancy
Mo1 0.000 0.000 0.000 1
Co1 0.250 0.250 0.250 1
Be1 0.750 0.750 0.750 1
Cs1 0.500 0.500 0.500 1
```

***

Entry 2:
This record from the Open Quantum Materials Database describes a geometry-optimized CsBeCoTe structure. The functional is PBE.

Results
The magnetization comes out at 2.0 μB/f.u. Its space group is No. 216. The calculation puts the relative energy among the computed polymorphs at 207 meV per atom.

The structure in CIF format:
```
data_CsBeCoTe
_chemical_formula_sum 'Cs1 Be1 Co1 Te1'
_symmetry_space_group_name_H-M 'P 1'
_symmetry_Int_Tables_number 1
_cell_length_a 5.352
_cell_length_b 5.352
_cell_length_c 5.352
_cell_angle_alpha 60.00
_cell_angle_beta 60.00
_cell_angle_gamma 60.00
loop_
_symmetry_equiv_pos_as_xyz
'x,y,z'
loop_
_atom_site_label
_atom_site_fract_x
_atom_site_fract_y
_atom_site_fract_z
_atom_site_occupancy
Be1 0.750 0.750 0.750 1
Te1 0.500 0.500 0.500 1
Co1 0.000 0.000 0.000 1
Cs1 0.250 0.250 0.250 1
```

***

Entry 3:
This record from the Open Quantum Materials Database describes a geometry-optimized CsBeCoTe structure. The functional is PBE.

Results
The magnetization comes out at 1.8 μB/f.u. Its space group is No. 216. The calculation puts the relative energy among the computed polymorphs at 0 meV per atom.

The structure in CIF format:
```
data_CsBeCoTe
_chemical_formula_sum 'Cs1 Be1 Co1 Te1'
_symmetry_space_group_name_H-M 'P 1'
_symmetry_Int_Tables_number 1
_cell_length_a 5.058
_cell_length_b 5.058
_cell_length_c 5.058
_cell_angle_alpha 60.00
_cell_angle_beta 60.00
_cell_angle_gamma 60.00
loop_
_symmetry_equiv_pos_as_xyz
'x,y,z'
loop_
_atom_site_label
_atom_site_fract_x
_atom_site_fract_y
_atom_site_fract_z
_atom_site_occupancy
Co1 0.250 0.250 0.250 1
Cs1 0.000 0.000 0.000 1
Be1 0.750 0.750 0.750 1
Te1 0.500 0.500 0.500 1
```

***

Entry 4:
This record from the Open Quantum Materials Database describes a geometry-optimized BeGa2CoCu4 structure. The functional is PBE.

Results
The magnetization comes out at 0.0 μB/f.u. Its space group is No. 123. The value obtained for the total energy is -0.1459 hartree per atom.

The structure in CIF format:
```
data_BeGa2CoCu4
_chemical_formula_sum 'Be1 Ga2 Co1 Cu4'
_symmetry_space_group_name_H-M 'P 1'
_symmetry_Int_Tables_number 1
_cell_length_a 3.962
_cell_length_b 3.962
_cell_length_c 5.992
_cell_angle_alpha 90.00
_cell_angle_beta 90.00
_cell_angle_gamma 90.00
loop_
_symmetry_equiv_pos_as_xyz
'x,y,z'
loop_
_atom_site_label
_atom_site_fract_x
_atom_site_fract_y
_atom_site_fract_z
_atom_site_occupancy
Cu1 0.000 0.500 0.238 1
Ga1 0.500 0.500 0.500 1
Co1 0.000 0.000 0.500 1
Cu2 0.000 0.500 0.762 1
Cu3 0.500 0.000 0.238 1
Ga2 0.000 0.000 0.000 1
Be1 0.500 0.500 0.000 1
Cu4 0.500 0.000 0.762 1
```

***

Entry 5:
This record from the Open Quantum Materials Database describes a geometry-optimized BeIn2CoCu4 structure. The functional is PBE.

Results
The magnetization comes out at 1.1 μB/f.u. Its space group is No. 123. The value obtained for the total energy is -0.1366 hartree per atom.

The structure in CIF format:
```
data_BeIn2CoCu4
_chemical_formula_sum 'Be1 In2 Co1 Cu4'
_symmetry_space_group_name_H-M 'P 1'
_symmetry_Int_Tables_number 1
_cell_length_a 4.164
_cell_length_b 4.164
_cell_length_c 6.216
_cell_angle_alpha 90.00
_cell_angle_beta 90.00
_cell_angle_gamma 90.00
loop_
_symmetry_equiv_pos_as_xyz
'x,y,z'
loop_
_atom_site_label
_atom_site_fract_x
_atom_site_fract_y
_atom_site_fract_z
_atom_site_occupancy
Cu1 0.500 0.000 0.242 1
In1 0.000 0.000 0.000 1
Be1 0.500 0.500 0.000 1
Cu2 0.000 0.500 0.242 1
In2 0.500 0.500 0.500 1
Cu3 0.000 0.500 0.758 1
Co1 0.000 0.000 0.500 1
Cu4 0.500 0.000 0.758 1
```

***

Entry 6:
This record from the Open Quantum Materials Database describes a geometry-optimized Mg2BeCoCu4 structure. The functional is PBE.

Results
The magnetization comes out at 0.0 μB/f.u. Its space group is No. 123. The value obtained for the total energy is -0.1293 hartree per atom.

The structure in CIF format:
```
data_Mg2BeCoCu4
_chemical_formula_sum 'Mg2 Be1 Co1 Cu4'
_symmetry_space_group_name_H-M 'P 1'
_symmetry_Int_Tables_number 1
_cell_length_a 4.057
_cell_length_b 4.057
_cell_length_c 6.010
_cell_angle_alpha 90.00
_cell_angle_beta 90.00
_cell_angle_gamma 90.00
loop_
_symmetry_equiv_pos_as_xyz
'x,y,z'
loop_
_atom_site_label
_atom_site_fract_x
_atom_site_fract_y
_atom_site_fract_z
_atom_site_occupancy
Cu1 0.500 0.000 0.257 1
Mg1 0.500 0.500 0.500 1
Cu2 0.500 0.000 0.743 1
Cu3 0.000 0.500 0.743 1
Co1 0.500 0.500 0.000 1
Mg2 0.000 0.000 0.000 1
Cu4 0.000 0.500 0.257 1
Be1 0.000 0.000 0.500 1
```

***

Entry 7:
This record from the Open Quantum Materials Database describes a geometry-optimized BeCoCuPb structure. The functional is PBE.

Results
The magnetization comes out at 0.0 μB/f.u. Its space group is No. 216. The calculation puts the relative energy among the computed polymorphs at 0 meV per atom.

The structure in CIF format:
```
data_BeCoCuPb
_chemical_formula_sum 'Be1 Co1 Cu1 Pb1'
_symmetry_space_group_name_H-M 'P 1'
_symmetry_Int_Tables_number 1
_cell_length_a 4.281
_cell_length_b 4.281
_cell_length_c 4.281
_cell_angle_alpha 60.00
_cell_angle_beta 60.00
_cell_angle_gamma 60.00
loop_
_symmetry_equiv_pos_as_xyz
'x,y,z'
loop_
_atom_site_label
_atom_site_fract_x
_atom_site_fract_y
_atom_site_fract_z
_atom_site_occupancy
Cu1 0.250 0.250 0.250 1
Pb1 0.000 0.000 0.000 1
Be1 0.500 0.500 0.500 1
Co1 0.750 0.750 0.750 1
```

***

Entry 8:
This record from the Open Quantum Materials Database describes a geometry-optimized BeCoCuPb structure. The functional is PBE.

Results
The magnetization comes out at 0.8 μB/f.u. Its space group is No. 216. The calculation puts the relative energy among the computed polymorphs at 107 meV per atom.

The structure in CIF format:
```
data_BeCoCuPb
_chemical_formula_sum 'Be1 Co1 Cu1 Pb1'
_symmetry_space_group_name_H-M 'P 1'
_symmetry_Int_Tables_number 1
_cell_length_a 4.298
_cell_length_b 4.298
_cell_length_c 4.298
_cell_angle_alpha 60.00
_cell_angle_beta 60.00
_cell_angle_gamma 60.00
loop_
_symmetry_equiv_pos_as_xyz
'x,y,z'
loop_
_atom_site_label
_atom_site_fract_x
_atom_site_fract_y
_atom_site_fract_z
_atom_site_occupancy
Co1 0.500 0.500 0.500 1
Pb1 0.000 0.000 0.000 1
Cu1 0.750 0.750 0.750 1
Be1 0.250 0.250 0.250 1
```